Entry 1:
Here is crystalline Hg4AsI5 at its relaxed geometry from Alexandria. Energies are from GGA-PBE.

a b c (Å): 8.7464 8.7464 20.7398
angles (deg): 90.00 90.00 90.38
Atoms (fractional coordinates):
As: 0.8919 0.1081 0.7495
As: 0.6081 0.3919 0.2495
As: 0.3919 0.6081 0.7505
As: 0.1081 0.8919 0.2505
Hg: 0.0521 0.9479 0.6713
Hg: 0.4479 0.5521 0.1713
Hg: 0.5521 0.4479 0.8287
Hg: 0.9479 0.0521 0.3287
Hg: 0.7313 0.2687 0.6717
Hg: 0.7687 0.2313 0.1717
Hg: 0.2313 0.7687 0.8283
Hg: 0.2687 0.7313 0.3283
Hg: 0.2314 0.4443 0.6729
Hg: 0.2686 0.0557 0.1729
Hg: 0.0557 0.2686 0.8271
Hg: 0.4443 0.2314 0.3271
Hg: 0.7686 0.5557 0.3271
Hg: 0.7314 0.9443 0.8271
Hg: 0.9443 0.7314 0.1729
Hg: 0.5557 0.7686 0.6729
I: 0.0655 0.2895 0.5845
I: 0.4345 0.2105 0.0845
I: 0.2105 0.4345 0.9155
I: 0.2895 0.0655 0.4155
I: 0.9345 0.7105 0.4155
I: 0.5655 0.7895 0.9155
I: 0.7895 0.5655 0.0845
I: 0.7105 0.9345 0.5845
I: 0.2135 0.7865 0.5842
I: 0.2865 0.7135 0.0842
I: 0.7135 0.2865 0.9158
I: 0.7865 0.2135 0.4158
I: 0.5683 0.4317 0.5852
I: 0.9317 0.0683 0.0852
I: 0.0683 0.9317 0.9148
I: 0.4317 0.5683 0.4148
I: 0.3880 0.1120 0.7500
I: 0.1120 0.3880 0.2500
I: 0.6120 0.8880 0.2500
I: 0.8880 0.6120 0.7500

E   -15.862 eV/f.u.



Entry 2:
Here is crystalline HgAsI2 at its relaxed geometry from Alexandria. Energies are from GGA-PBE.

a b c (Å): 9.0659 9.0659 9.0365
angles (deg): 59.89 59.89 90.00
Atoms (fractional coordinates):
I: 0.3760 0.1250 0.2500
I: 0.3740 0.6250 0.2500
I: 0.3750 0.6240 0.7500
I: 0.8750 0.6260 0.7500
As: 0.5000 0.5000 0.0000
As: 0.2500 0.7500 0.5000
Hg: 0.0000 0.0000 0.0000
Hg: 0.7500 0.2500 0.5000

Polymorph energy (0 for the lowest one)   0.046 eV/atom
E   -7.629 eV/f.u.



no.,formation energy (no corrections) (eV/atom)
1,-0.225
2,0.106